*i*
DFT (PBE) results for a relaxed structure of Tl2PtRh.

Properties
DOS at the Fermi energy = 3.1 states/eV/cell
total magnetic moment = 0.00 μB per formula unit

Unit cell a=4.4515 b=4.4515 c=7.6698 alpha=90.00 beta=90.00 gamma=90.00
Space group I4/mmm (No. 139)
Inequivalent atoms, fractional coordinates:
Tl (0.0000, 0.5000, 0.2500)
Pt (0.0000, 0.0000, 0.0000)
Rh (0.0000, 0.0000, 0.5000)


*ii*
DFT (PBE) results for a relaxed structure of Tl2PtRh.

Properties
DOS at the Fermi energy = 4.6 states/eV/cell
total magnetic moment = 0.00 μB per formula unit

Unit cell a=4.5362 b=3.2186 c=10.7374 alpha=90.00 beta=90.00 gamma=90.00
Space group Amm2 (No. 38)
Inequivalent atoms, fractional coordinates:
Tl (0.0000, 0.0000, 0.0000)
Tl (0.5000, 0.0000, 0.2880)
Pt (0.5000, 0.0000, 0.5568)
Rh (0.0000, 0.0000, 0.7347)


*iii*
DFT (PBE) results for a relaxed structure of Tl2PtRh.

Properties
DOS at the Fermi energy = 15.7 states/eV/cell
total magnetic moment = 0.49 μB per formula unit

Unit cell a=3.1670 b=3.1670 c=28.4762 alpha=90.00 beta=90.00 gamma=120.00
Space group R3m (No. 160, hexagonal axes)
Inequivalent atoms, fractional coordinates:
Tl (0.0000, 0.0000, 0.0000)
Tl (0.0000, 0.0000, 0.2290)
Pt (0.0000, 0.0000, 0.7469)
Rh (0.0000, 0.0000, 0.4863)


*iv*
DFT (PBE) results for a relaxed structure of Tl2PtRh.

Properties
DOS at the Fermi energy = 9.1 states/eV/cell
total magnetic moment = 0.00 μB per formula unit

Unit cell a=3.2769 b=3.2769 c=25.4048 alpha=90.00 beta=90.00 gamma=120.00
Space group R-3m (No. 166, hexagonal axes)
Inequivalent atoms, fractional coordinates:
Tl (0.0000, 0.0000, 0.2478)
Pt (0.0000, 0.0000, 0.0000)
Rh (0.0000, 0.0000, 0.5000)


Which structure is the least stable? The one labeled *iii*.


*i*
DFT (PBE) results for a relaxed structure of Tl2PtRh.

Properties
DOS at the Fermi energy = 4.9 states/eV/cell
total magnetic moment = 0.00 μB per formula unit

Unit cell a=3.9473 b=3.9473 c=9.9484 alpha=90.00 beta=90.00 gamma=90.00
Space group I-4m2 (No. 119)
Inequivalent atoms, fractional coordinates:
Tl (0.0000, 0.0000, 0.0000)
Tl (0.0000, 0.5000, 0.2500)
Pt (0.0000, 0.5000, 0.7500)
Rh (0.0000, 0.0000, 0.5000)


*ii*
DFT (PBE) results for a relaxed structure of Tl2PtRh.

Properties
DOS at the Fermi energy = 2.4 states/eV/cell
total magnetic moment = 0.00 μB per formula unit

Unit cell a=10.5557 b=3.1942 c=4.7710 alpha=90.00 beta=107.03 gamma=90.00
Space group Cm (No. 8)
Inequivalent atoms, fractional coordinates:
Tl (0.0000, 0.0000, 0.0000)
Tl (0.2287, 0.0000, 0.6011)
Pt (0.4786, 0.0000, 0.4876)
Rh (0.2421, 0.5000, 0.1010)


Which structure is the least stable? The one labeled *i*.


*i*
DFT (PBE) results for a relaxed structure of TlPt2Rh2.

Properties
DOS at the Fermi energy = 15.1 states/eV/cell
total magnetic moment = 2.20 μB per formula unit

Unit cell a=3.7008 b=3.7008 c=13.2179 alpha=90.00 beta=90.00 gamma=90.00
Space group I4/mmm (No. 139)
Inequivalent atoms, fractional coordinates:
Tl (0.0000, 0.0000, 0.0000)
Pt (0.0000, 0.0000, 0.3985)
Rh (0.0000, 0.5000, 0.2500)


*ii*
DFT (PBE) results for a relaxed structure of TlPt2Rh2.

Properties
DOS at the Fermi energy = 13.9 states/eV/cell
total magnetic moment = 0.00 μB per formula unit

Unit cell a=7.8143 b=7.8143 c=2.8315 alpha=90.00 beta=90.00 gamma=90.00
Space group P4/mbm (No. 127)
Inequivalent atoms, fractional coordinates:
Tl (0.0000, 0.0000, 0.0000)
Pt (0.1227, 0.3773, 0.0000)
Rh (0.1755, 0.6755, 0.5000)


*iii*
DFT (PBE) results for a relaxed structure of TlPt2Rh2.

Properties
DOS at the Fermi energy = 17.1 states/eV/cell
total magnetic moment = 0.04 μB per formula unit

Unit cell a=3.7521 b=3.7521 c=12.7856 alpha=90.00 beta=90.00 gamma=90.00
Space group I4/mmm (No. 139)
Inequivalent atoms, fractional coordinates:
Tl (0.0000, 0.0000, 0.0000)
Pt (0.0000, 0.5000, 0.2500)
Rh (0.0000, 0.0000, 0.4018)


Which structure is the least stable? The one labeled *i*.


*i*
DFT (PBE) results for a relaxed structure of TmPtRh.

Properties
DOS at the Fermi energy = 2.2 states/eV/cell
total magnetic moment = 0.00 μB per formula unit

Unit cell a=4.6527 b=4.6527 c=5.6381 alpha=90.00 beta=90.00 gamma=120.00
Space group P6_3/mmc (No. 194)
Inequivalent atoms, fractional coordinates:
Tm (0.3333, 0.6667, 0.2500)
Pt (0.0000, 0.0000, 0.0000)
Rh (0.3333, 0.6667, 0.7500)


*ii*
DFT (PBE) results for a relaxed structure of TmPtRh.

Properties
DOS at the Fermi energy = 3.9 states/eV/cell
total magnetic moment = 0.00 μB per formula unit

Unit cell a=3.9367 b=4.1272 c=6.8548 alpha=90.00 beta=106.67 gamma=90.00
Space group P2_1/m (No. 11)
Inequivalent atoms, fractional coordinates:
Tm (0.0966, 0.2500, 0.1924)
Pt (0.2495, 0.7500, 0.4993)
Rh (0.4143, 0.2500, 0.8302)


*iii*
DFT (PBE) results for a relaxed structure of TmPtRh.

Properties
DOS at the Fermi energy = 2.0 states/eV/cell
total magnetic moment = 0.00 μB per formula unit

Unit cell a=4.3510 b=4.3510 c=3.5914 alpha=90.00 beta=90.00 gamma=120.00
Space group P-6m2 (No. 187)
Inequivalent atoms, fractional coordinates:
Tm (0.0000, 0.0000, 0.0000)
Pt (0.3333, 0.6667, 0.5000)
Rh (0.6667, 0.3333, 0.5000)


Which structure is the least stable? The one labeled *iii*.


*i*
DFT (PBE) results for a relaxed structure of UPt2Rh4.

Properties
DOS at the Fermi energy = 20.1 states/eV/cell
total magnetic moment = 0.00 μB per formula unit

Unit cell a=4.8283 b=4.8283 c=12.6589 alpha=90.00 beta=90.00 gamma=90.00
Space group I4/mmm (No. 139)
Inequivalent atoms, fractional coordinates:
U (0.0000, 0.0000, 0.0000)
Pt (0.0000, 0.0000, 0.1962)
Rh (0.0000, 0.0000, 0.3972)
Rh (0.0000, 0.5000, 0.0000)


*ii*
DFT (PBE) results for a relaxed structure of UPt2Rh4.

Properties
DOS at the Fermi energy = 38.7 states/eV/cell
total magnetic moment = 0.00 μB per formula unit

Unit cell a=7.5860 b=7.5860 c=8.1568 alpha=90.00 beta=90.00 gamma=90.00
Space group I-4 (No. 82)
Inequivalent atoms, fractional coordinates:
U (0.0000, 0.0000, 0.0000)
U (0.0000, 0.5000, 0.2500)
Pt (0.1088, 0.7977, 0.5852)
Rh (0.0628, 0.6860, 0.9169)
Rh (0.1116, 0.7999, 0.2574)


Which structure is the least stable? The one labeled *i*.


*i*
DFT (PBE) results for a relaxed structure of UPt3Rh.

Properties
DOS at the Fermi energy = 9.4 states/eV/cell
total magnetic moment = 0.73 μB per formula unit

Unit cell a=4.3508 b=7.1071 c=5.8059 alpha=90.00 beta=90.00 gamma=90.00
Space group Pmmn (No. 59, origin choice 2)
Inequivalent atoms, fractional coordinates:
U (0.2500, 0.2500, 0.2299)
Pt (0.2500, 0.0632, 0.7464)
Pt (0.2500, 0.7500, 0.4749)
Rh (0.2500, 0.7500, 0.0153)


*ii*
DFT (PBE) results for a relaxed structure of UPt3Rh.

Properties
DOS at the Fermi energy = 31.2 states/eV/cell
total magnetic moment = 1.38 μB per formula unit

Unit cell a=5.3711 b=13.2363 c=5.2411 alpha=90.00 beta=90.00 gamma=90.00
Space group Cmcm (No. 63)
Inequivalent atoms, fractional coordinates:
U (0.0000, 0.1405, 0.2500)
Pt (0.0000, 0.5000, 0.0000)
Pt (0.2490, 0.1484, 0.7500)
Rh (0.0000, 0.3215, 0.7500)


Which structure is the least stable? The one labeled *ii*.


*i*
DFT (PBE) results for a relaxed structure of UPtRh3.

Properties
DOS at the Fermi energy = 6.9 states/eV/cell
total magnetic moment = 0.00 μB per formula unit

Unit cell a=4.6524 b=5.7782 c=6.4028 alpha=90.00 beta=90.00 gamma=90.00
Space group Pmmn (No. 59, origin choice 2)
Inequivalent atoms, fractional coordinates:
U (0.2500, 0.2500, 0.0275)
Pt (0.2500, 0.7500, 0.2888)
Rh (0.2500, 0.2500, 0.3928)
Rh (0.2500, 0.5204, 0.7335)


*ii*
DFT (PBE) results for a relaxed structure of UPtRh3.

Properties
DOS at the Fermi energy = 13.0 states/eV/cell
total magnetic moment = 0.34 μB per formula unit

Unit cell a=4.6166 b=5.5229 c=6.9087 alpha=90.00 beta=109.49 gamma=90.00
Space group P2_1/m (No. 11)
Inequivalent atoms, fractional coordinates:
U (0.1157, 0.2500, 0.2327)
Pt (0.4930, 0.2500, 0.9874)
Rh (0.1235, 0.7500, 0.2459)
Rh (0.3116, 0.0028, 0.6234)


Which structure is the least stable? The one labeled *ii*.


*i*
DFT (PBE) results for a relaxed structure of UPt3Rh3.

Properties
DOS at the Fermi energy = 15.6 states/eV/cell
total magnetic moment = 0.00 μB per formula unit

Unit cell a=7.5530 b=7.5530 c=4.5606 alpha=90.00 beta=90.00 gamma=120.00
Space group P6_3/m (No. 176)
Inequivalent atoms, fractional coordinates:
U (0.3333, 0.6667, 0.2500)
Pt (0.0414, 0.8019, 0.2500)
Rh (0.0930, 0.6214, 0.7500)


*ii*
DFT (PBE) results for a relaxed structure of UPt3Rh3.

Properties
DOS at the Fermi energy = 17.1 states/eV/cell
total magnetic moment = 0.00 μB per formula unit

Unit cell a=5.6762 b=5.6111 c=7.5550 alpha=90.00 beta=91.15 gamma=90.00
Space group P2/m (No. 10)
Inequivalent atoms, fractional coordinates:
U (0.2323, 0.0000, 0.2233)
Pt (0.2281, 0.5000, 0.2395)
Pt (0.2389, 0.0000, 0.7589)
Pt (0.2527, 0.5000, 0.7526)
Rh (0.0000, 0.2445, 0.5000)
Rh (0.5000, 0.2414, 0.5000)
Rh (0.5000, 0.2497, 0.0000)


Which structure is the least stable? The one labeled *ii*.